No. 1
Below is a relaxed structure of CdOsIN2, with properties calculated at the PBE level.

Results
The formation energy from raw total energies comes out at 12.8 eV per formula unit. The calculation puts the polymorph energy (0 for the lowest one) at 1737.6 meV/atom.

Unit cell a=4.1411 b=4.1411 c=6.7596 alpha=90.00 beta=90.00 gamma=90.00
Site moments in Bohr magnetons follow the coordinates.
Fractional coordinates of all 5 atoms:
I: 0.0000 0.0000 0.5000  0.07
N: 0.0000 0.5000 0.0000  1.10
N: 0.5000 0.0000 0.0000  1.10
Os: 0.5000 0.5000 0.5000  2.21
Cd: 0.0000 0.0000 0.0000  0.07

---

No. 2
Below is a relaxed structure of Mo8As, with properties calculated at the PBE level.

Results
The value obtained for the formation energy is 5.1 kcal/mol of atoms.

Unit cell a=6.0852 b=6.0852 c=6.0852 alpha=97.73 beta=97.73 gamma=136.97
Fractional coordinates of all 9 atoms:
Mo: 0.3355 0.6645 0.0000
Mo: 0.6645 0.3355 0.0000
Mo: 0.0000 0.3303 0.3303
Mo: 0.6645 0.6645 0.3291
Mo: 0.3303 0.0000 0.3303
Mo: 0.3355 0.3355 0.6709
Mo: 0.0000 0.6697 0.6697
Mo: 0.6697 0.0000 0.6697
As: 0.0000 0.0000 0.0000

---

Number 1: energy -3.503 eV per atom. Number 2: energy -9.924 eV per atom.